No. 1
# Ho2Zn3Au4 | the Alexandria database | PBE-GGA | optimized geometry
# ΔE_f   -5.11 eV per formula unit
data_Ho2Zn3Au4
_chemical_formula_sum 'Ho8 Zn12 Au16'
_symmetry_space_group_name_H-M 'C m c e'
_symmetry_Int_Tables_number 64
_symmetry_space_group_name_Hall '-C 2ac 2'
_cell_length_a 5.707
_cell_length_b 15.256
_cell_length_c 8.025
_cell_angle_alpha 90.00
_cell_angle_beta 90.00
_cell_angle_gamma 90.00
loop_
_atom_site_label
_atom_site_fract_x
_atom_site_fract_y
_atom_site_fract_z
Ho1 0.000 0.113 0.087
Zn1 0.000 0.000 0.500
Zn2 0.250 0.224 0.750
Au1 0.000 0.183 0.469
Au2 0.250 0.049 0.750

No. 2
# NaLaSeS | the Alexandria database | PBE-GGA | optimized geometry
# ΔE_f (raw)   -1.803 eV/atom
# Polymorph energy (0 for the lowest one)   0 meV/atom
data_NaLaSeS
_chemical_formula_sum 'Na3 La3 Se3 S3'
_symmetry_space_group_name_H-M 'R 3 m'
_symmetry_Int_Tables_number 160
_symmetry_space_group_name_Hall 'R 3 -2"'
_cell_length_a 4.3069
_cell_length_b 4.3069
_cell_length_c 20.4255
_cell_angle_alpha 90.00
_cell_angle_beta 90.00
_cell_angle_gamma 120.00
loop_
_atom_site_label
_atom_site_fract_x
_atom_site_fract_y
_atom_site_fract_z
Na1 0.0000 0.0000 0.0000
La1 0.0000 0.0000 0.4950
Se1 0.0000 0.0000 0.2455
S1 0.0000 0.0000 0.7553

No. 3
# Nd6Sm2Er3Tm | the Alexandria database | PBE-GGA | optimized geometry
# ΔE_f   0.16 eV per formula unit
data_Nd6Sm2Er3Tm
_chemical_formula_sum 'Nd12 Sm4 Er6 Tm2'
_symmetry_space_group_name_H-M 'C 1 2/m 1'
_symmetry_Int_Tables_number 12
_cell_length_a 6.273
_cell_length_b 10.865
_cell_length_c 11.870
_cell_angle_alpha 90.00
_cell_angle_beta 100.12
_cell_angle_gamma 90.00
loop_
_symmetry_equiv_pos_as_xyz
'x,y,z'
'-x,-y,-z'
'-x,y,-z'
'x,-y,z'
'x+1/2,y+1/2,z'
'-x+1/2,-y+1/2,-z'
'-x+1/2,y+1/2,-z'
'x+1/2,-y+1/2,z'
loop_
_atom_site_label
_atom_site_fract_x
_atom_site_fract_y
_atom_site_fract_z
Nd1 0.248 0.000 0.248
Nd2 0.250 0.166 0.752
Sm1 0.000 0.333 0.500
Er1 0.000 0.166 0.000
Er2 0.000 0.500 0.000
Tm1 0.000 0.000 0.500

No. 4
# Tl2CuPd | the Alexandria database | PBE-GGA | optimized geometry
# ΔE_f   1.01 eV per formula unit
data_Tl2CuPd
_chemical_formula_sum 'Tl8 Cu4 Pd4'
_symmetry_space_group_name_H-M 'I -4 2 d'
_symmetry_Int_Tables_number 122
_symmetry_space_group_name_Hall 'I -4 2bw'
_cell_length_a 7.557
_cell_length_b 7.557
_cell_length_c 6.043
_cell_angle_alpha 90.00
_cell_angle_beta 90.00
_cell_angle_gamma 90.00
loop_
_atom_site_label
_atom_site_fract_x
_atom_site_fract_y
_atom_site_fract_z
Tl1 0.240 0.250 0.125
Cu1 0.000 0.000 0.000
Pd1 0.000 0.000 0.500

No. 5
# SrAl2W | the Alexandria database | PBE-GGA | optimized geometry
# ΔE_f   1.17 eV per formula unit
# Polymorph energy (0 for the lowest one)   145 meV/atom
data_SrAl2W
_chemical_formula_sum 'Sr2 Al4 W2'
_symmetry_space_group_name_H-M 'C 1 2/m 1'
_symmetry_Int_Tables_number 12
_cell_length_a 9.118
_cell_length_b 2.887
_cell_length_c 6.514
_cell_angle_alpha 90.00
_cell_angle_beta 95.53
_cell_angle_gamma 90.00
loop_
_symmetry_equiv_pos_as_xyz
'x,y,z'
'-x,-y,-z'
'-x,y,-z'
'x,-y,z'
'x+1/2,y+1/2,z'
'-x+1/2,-y+1/2,-z'
'-x+1/2,y+1/2,-z'
'x+1/2,-y+1/2,z'
loop_
_atom_site_label
_atom_site_fract_x
_atom_site_fract_y
_atom_site_fract_z
Sr1 0.000 0.000 0.000
Al1 0.238 0.000 0.674
W1 0.000 0.500 0.500

No. 6
# ZnCoSb | the Alexandria database | PBE-GGA | optimized geometry
# ΔE_f (raw)   0.302 eV/atom
data_ZnCoSb
_chemical_formula_sum 'Zn1 Co1 Sb1'
_symmetry_space_group_name_H-M 'P 3 m 1'
_symmetry_Int_Tables_number 156
_cell_length_a 4.2071
_cell_length_b 4.2071
_cell_length_c 3.5047
_cell_angle_alpha 90.00
_cell_angle_beta 90.00
_cell_angle_gamma 120.00
loop_
_symmetry_equiv_pos_as_xyz
'x,y,z'
'-y,x-y,z'
'-x+y,-x,z'
'-y,-x,z'
'-x+y,y,z'
'x,x-y,z'
loop_
_atom_site_label
_atom_site_fract_x
_atom_site_fract_y
_atom_site_fract_z
Zn1 0.0000 0.0000 0.0000
Co1 0.3333 0.6667 0.2784
Sb1 0.6667 0.3333 0.4673